(1)
{
  "formula": "BaH2Pt",
  "functional": "PBE",
  "state": "optimized geometry",
  "lattice_angstrom": [[4.714, 0.000, 0.000], [2.357, 4.083, 0.000], [2.357, 1.361, 4.033]],
  "species": ["Pt", "H", "Ba", "H"],
  "frac_coords": [[0.000, 0.000, 0.000], [0.137, 0.137, 0.588], [0.500, 0.500, 0.500], [0.863, 0.863, 0.412]],
  "dos_at_fermi_per_ev_cell": 0.00,
  "final_energy_ev_per_cell": -17.07,
  "de_polymorph_ev_per_atom": 0.007,
  "magnetic_moment_mub_per_fu": 0.000
}

(2)
{
  "formula": "BaH2Pt",
  "functional": "PBE",
  "state": "optimized geometry",
  "lattice_angstrom": [[0.000, 3.208, 3.208], [3.208, 0.000, 3.208], [3.208, 3.208, 0.000]],
  "species": ["Ba", "Pt", "H", "H"],
  "frac_coords": [[0.000, 0.000, 0.000], [0.500, 0.500, 0.500], [0.250, 0.250, 0.250], [0.750, 0.750, 0.750]],
  "dos_at_fermi_per_ev_cell": 2.92,
  "final_energy_ev_per_cell": -13.87,
  "de_polymorph_ev_per_atom": 0.807,
  "magnetic_moment_mub_per_fu": 0.000
}

(3)
{
  "formula": "Ba3HPt",
  "functional": "PBE",
  "state": "optimized geometry",
  "lattice_angstrom": [[4.275, 0.000, 0.000], [0.000, 8.896, -0.051], [0.000, -2.056, 9.210]],
  "species": ["Ba", "Ba", "H", "Ba", "Ba", "Pt", "Ba", "H", "Ba", "Pt"],
  "frac_coords": [[0.750, 0.077, 0.337], [0.250, 0.735, 0.004], [0.750, 0.152, 0.646], [0.750, 0.265, 0.996], [0.250, 0.923, 0.663], [0.250, 0.324, 0.277], [0.250, 0.399, 0.639], [0.250, 0.848, 0.354], [0.750, 0.601, 0.361], [0.750, 0.676, 0.723]],
  "dos_at_fermi_per_ev_cell": 7.60,
  "final_energy_ev_per_cell": -34.87,
  "de_polymorph_ev_per_atom": 0.058,
  "magnetic_moment_mub_per_fu": 0.000
}

(4)
{
  "formula": "BaH2Pt2",
  "functional": "PBE",
  "state": "optimized geometry",
  "lattice_angstrom": [[-0.737, 4.266, 2.391], [-3.136, -1.418, -3.551], [-2.031, -1.747, 2.491]],
  "species": ["H", "Pt", "Ba", "Pt", "H"],
  "frac_coords": [[0.667, 0.333, 0.000], [0.333, 0.667, 0.500], [0.000, 0.000, 0.000], [0.667, 0.333, 0.500], [0.333, 0.667, 0.000]],
  "dos_at_fermi_per_ev_cell": 3.36,
  "final_energy_ev_per_cell": -22.75,
  "de_polymorph_ev_per_atom": 0.000,
  "magnetic_moment_mub_per_fu": 0.000
}